Material: RbHfCr2O
Method: DFT, GGA+U
State: relaxed

Results
Raw total energy ... -22.3 eV per cell
DOS at the Fermi energy ... 6.83 states/eV/f.u.

Unit cell a=5.0751 b=5.0751 c=7.7722 alpha=90.00 beta=90.00 gamma=90.00
Closest atoms and distances in Å follow each position.
Atoms (fractional coordinates):
Rb1 0.0000 0.0000 0.0000  4 O 3.59, 2 Hf 3.89
Hf1 0.0000 0.0000 0.5000  4 Cr 2.54
Cr1 0.0000 0.5000 0.5000  2 Hf 2.54
Cr2 0.5000 0.0000 0.5000  2 Hf 2.54
O1 0.5000 0.5000 0.0000  4 Rb 3.59